# 1
Ca7SnAs6: optimized geometry, PBE.

Calculated values
The calculation puts the total energy at -118.53 eV for the cell shown. As for the symmetry: Ibam (72).

Structure (extended XYZ):
```
28
Lattice="7.229 0.000 2.713 3.474 10.403 1.732 -0.043 0.002 11.103" Properties=species:S:1:pos:R:3 pbc="T T T"
As 3.128 6.786 5.319
As 5.413 3.092 2.838
As 7.429 8.818 4.844
As 3.231 1.586 10.703
As 0.456 0.636 3.502
As 7.533 3.618 10.229
As 5.248 7.312 12.710
As 2.683 5.838 10.112
As 6.616 8.295 9.063
As 7.977 4.566 5.436
As 10.205 9.768 12.045
As 4.044 2.110 6.485
Ca 4.796 8.772 6.759
Ca 5.244 0.516 12.559
Ca 5.865 1.633 8.788
Ca 2.665 2.601 3.887
Ca 8.256 3.571 13.404
Ca 2.404 6.833 2.144
Ca 7.995 7.803 11.661
Ca 3.041 4.688 7.443
Ca 7.620 5.716 8.105
Ca 8.658 9.504 7.455
Ca 2.002 0.900 8.092
Ca 5.416 9.889 2.989
Ca 4.890 4.304 11.387
Ca 5.771 6.100 4.161
Sn 6.280 2.601 5.243
Sn 4.381 7.803 10.304
```

---

# 2
Sm2CS2N2: optimized geometry, PBE.

Calculated values
The density of states at the Fermi level is 0.000 states/eV per atom. As for the symmetry: C2/m (12). The raw formation energy is -135.0 kJ per mole of atoms.

Structure (extended XYZ):
```
7
Lattice="-0.190 3.441 -2.243 0.933 -4.166 -2.700 -6.948 -0.394 -0.017" Properties=species:S:1:pos:R:3 pbc="T T T"
S -0.482 -1.886 -2.853
S -5.722 0.768 -2.107
N -2.885 -0.768 -0.934
N -3.319 -0.351 -4.027
Sm -4.707 -1.850 -2.440
Sm -1.498 0.731 -2.520
C -3.474 -0.197 -0.009
```

---

| no. | size of the total moment (μB/f.u.) |
| --- | --- |
| 1 | 0.00 |
| 2 | 0.00 |